# GGA-PBE Na2YMn, relaxed
data_Na2YMn
_cell_length_a 3.9801
_cell_length_b 3.9801
_cell_length_c 24.4088
_cell_angle_alpha 90.00
_cell_angle_beta 90.00
_cell_angle_gamma 90.00
_space_group_name_H-M_alt 'I -4 2 d'
_space_group_IT_number 122
_space_group_name_Hall 'I -4 2bw'
loop_
_atom_site_label
_atom_site_fract_x
_atom_site_fract_y
_atom_site_fract_z
Na1 0.2304 0.2500 0.1250
Y1 0.0000 0.0000 0.5000
Mn1 0.0000 0.0000 0.0000
# * energy of formation from the pure elements: 0.84 eV per atom
# * DOS at the Fermi energy: 4.7 states/eV/f.u.
# * calculated total energy: -3.725 eV/atom